# GaFe3O6 PBE with a Hubbard U optimized geometry
data_GaFe3O6
_space_group_name_H-M_alt 'P 1 21/c 1'
_space_group_IT_number 14
_cell_length_a 4.9838
_cell_length_b 5.1333
_cell_length_c 9.3311
_cell_angle_alpha 90.00
_cell_angle_beta 121.66
_cell_angle_gamma 90.00
loop_
_space_group_symop_operation_xyz
'x,y,z'
'-x,-y,-z'
'-x,y+1/2,-z+1/2'
'x,-y+1/2,z+1/2'
loop_
_atom_site_label
_atom_site_fract_x
_atom_site_fract_y
_atom_site_fract_z
Ga1 0.0000 0.0000 0.0000
Fe1 0.3010 0.0570 0.7909
Fe2 0.5000 0.0000 0.5000
O1 0.0764 0.1026 0.2288
O2 0.3166 0.6982 0.1108
O3 0.3774 0.1827 0.0481
# Magnetization = 18.00 μB per cell
# V = 10.159 Å³/atom
# Uncorrected energy = -123.54 eV per cell